Entry from the Alexandria database: an optimized crystal structure of Cu2IrOs (PBE).

Lattice parameters (Å, degrees): 4.5621 4.5621 4.5621 130.85 130.85 72.06
Sites, in units of the cell vectors:
Cu 0.0000 0.0000 0.0000
Cu 0.2500 0.7500 0.5000
Ir 0.5000 0.5000 0.0000
Os 0.7500 0.2500 0.5000

Properties
formation energy from the elements: 0.257 eV per atom
E above lowest polymorph: 13.7 kJ per mole of atoms
space-group type: No. 119
electronic total energy: -6.814 eV per atom
spin magnetization: 0.00 μB/f.u.



Entry from the Alexandria database: an optimized crystal structure of CuIrOs2 (PBE).

Lattice parameters (Å, degrees): 4.5747 4.5747 2.7200 90.00 90.00 90.00
Sites, in units of the cell vectors:
Cu 0.5000 0.0000 0.5000
Ir 0.0000 0.5000 0.5000
Os 0.0000 0.0000 0.0000
Os 0.5000 0.5000 0.0000

Properties
formation energy from the elements: 0.583 eV per atom
E above lowest polymorph: 41.1 kJ per mole of atoms
space-group type: No. 123
electronic total energy: -8.271 eV per atom
spin magnetization: 0.00 μB/f.u.



Entry from the Alexandria database: an optimized crystal structure of Cu2IrOs (PBE).

Lattice parameters (Å, degrees): 4.6483 4.6483 4.6483 132.44 132.44 69.54
Sites, in units of the cell vectors:
Cu 0.0000 0.0000 0.0000
Cu 0.5000 0.5000 0.0000
Ir 0.2500 0.7500 0.5000
Os 0.7500 0.2500 0.5000

Properties
formation energy from the elements: 0.435 eV per atom
E above lowest polymorph: 30.9 kJ per mole of atoms
space-group type: No. 139
electronic total energy: -6.636 eV per atom
spin magnetization: 0.00 μB/f.u.